First-principles (PBE-GGA) data for a relaxed structure of Ba4CrSe, as listed in Alexandria via LeMat-Bulk.

Values from the calculation:
The value obtained for the density of states at the Fermi level is 1.30 states/eV per atom. As for the calculated total energy: -2.956 eV/atom. As for the calculated volume: 267 Å³ per cell. As for the symmetry: F-43m (216).

a = 7.2276 Å, b = 7.2276 Å, c = 7.2276 Å
α = 60.00°, β = 60.00°, γ = 60.00°
Site moments in Bohr magnetons follow the coordinates.
Element x y z (fractional)
Ba1 0.8780 0.3740 0.3740  -0.04
Ba2 0.3740 0.3740 0.8780  -0.04
Ba3 0.3740 0.8780 0.3740  -0.04
Ba4 0.3740 0.3740 0.3740  -0.04
Cr1 0.7500 0.7500 0.7500  4.16
Se1 0.0000 0.0000 0.0000  0.02